Here is a relaxed structure of SmPuMgPb from Alexandria via LeMat-Bulk. Energies are from PBE.

Computed properties:
energy relative to the elements	-0.126	eV per atom
crystal system	cubic
energy	-24.9	eV for the cell shown
symmetry	No. 216

Lattice parameters (Å, degrees): 5.4403 5.4403 5.4403 60.00 60.00 60.00
Fractional coordinates of all 4 atoms:
Sm1 0.0000 0.0000 0.0000
Pu1 0.5000 0.5000 0.5000
Mg1 0.2500 0.2500 0.2500
Pb1 0.7500 0.7500 0.7500